A geometry-optimized MoIO6 structure, computed with PBE+U.

VASP energy = -87.60 eV per cell
magnetization = 0.124 μB per atom

a b c (Å): 4.8953 9.7365 4.8914
angles (deg): 90.00 103.35 90.00
With the nearest neighbours (Å) after each atom.
Space group C2/m (No. 12)
Inequivalent atoms, fractional coordinates:
Mo  0.0000  0.0000  0.0000 [2 per cell]  6 O 1.89-2.07
I  0.0000  0.5000  0.5000 [2 per cell]  6 O 1.90-1.95
O  0.2297  0.3691  0.7334 [8 per cell]  1 I 1.90, 1 Mo 2.07
O  0.2433  0.0000  0.7515 [4 per cell]  1 Mo 1.89, 1 I 1.95

---

A geometry-optimized MoI3O structure, computed with PBE+U.

relative energy among the computed polymorphs = 0.487 eV per atom
VASP energy = -10.97 eV per cell
magnetization = 0.000 μB per atom

a b c (Å): 5.4345 5.4345 5.4345
angles (deg): 90.00 90.00 90.00
With the nearest neighbours (Å) after each atom.
Space group Pm-3m (No. 221)
Inequivalent atoms, fractional coordinates:
Mo  0.0000  0.0000  0.0000 [1 per cell]  6 I 2.72
I  0.0000  0.0000  0.5000 [3 per cell]  2 Mo 2.72
O  0.5000  0.5000  0.5000 [1 per cell]  12 I 3.84

---

A geometry-optimized MoPIO2 structure, computed with PBE+U.

relative energy among the computed polymorphs = 0.728 eV per atom
VASP energy = -23.08 eV per cell
magnetization = 0.936 μB per atom

a b c (Å): 3.9003 3.9003 5.7006
angles (deg): 90.00 90.00 90.00
With the nearest neighbours (Å) after each atom.
Space group P4/mmm (No. 123)
Inequivalent atoms, fractional coordinates:
Mo  0.0000  0.0000  0.0000 [1 per cell]  4 I 2.76
P  0.5000  0.5000  0.5000 [1 per cell]  4 O 1.95
I  0.5000  0.5000  0.0000 [1 per cell]  4 Mo 2.76, 2 P 2.85
O  0.0000  0.5000  0.5000 [2 per cell]  2 P 1.95

---

Please write out number 1 again, unchanged.
A geometry-optimized MoIO6 structure, computed with PBE+U.

VASP energy = -87.60 eV per cell
magnetization = 0.124 μB per atom

a b c (Å): 4.8953 9.7365 4.8914
angles (deg): 90.00 103.35 90.00
With the nearest neighbours (Å) after each atom.
Space group C2/m (No. 12)
Inequivalent atoms, fractional coordinates:
Mo  0.0000  0.0000  0.0000 [2 per cell]  6 O 1.89-2.07
I  0.0000  0.5000  0.5000 [2 per cell]  6 O 1.90-1.95
O  0.2297  0.3691  0.7334 [8 per cell]  1 I 1.90, 1 Mo 2.07
O  0.2433  0.0000  0.7515 [4 per cell]  1 Mo 1.89, 1 I 1.95